1.
A plane-wave DFT calculation with PBE-GGA was carried out for a relaxed structure of DyNiB2C.

As for the volume: 10.9 Å³/atom. The calculated formation energy comes out at -0.29 eV/atom. Its crystal system is orthorhombic.

It has space group Cmcm (No. 63), with a = 3.670 Å, b = 9.900 Å, c = 5.993 Å, α = 90.00°, β = 90.00° and γ = 90.00°. The inequivalent atoms are Dy at (0.000, 0.093, 0.250), Ni at (0.000, 0.198, 0.750), B at (0.000, 0.363, 0.098) and C at (0.000, 0.500, 0.000).


2.
A plane-wave DFT calculation with PBE-GGA was carried out for a relaxed structure of BeCu2Mo.

As for the volume: 12.2 Å³/atom. The calculated formation energy comes out at 0.17 eV/atom. Its crystal system is monoclinic.

It has space group P2/m (No. 10), with a = 2.535 Å, b = 3.967 Å, c = 4.978 Å, α = 90.00°, β = 103.08° and γ = 90.00°. The inequivalent atoms are Be at (0.000, 0.000, 0.000), Cu at (0.161, 0.500, 0.772) and Mo at (0.500, 0.000, 0.500).


3.
A plane-wave DFT calculation with PBE-GGA was carried out for a relaxed structure of AcSm3Cd2.

As for the volume: 31.3 Å³/atom. The calculated formation energy comes out at -0.20 eV/atom. Its crystal system is tetragonal.

It has space group P4/mmm (No. 123), with a = 3.813 Å, b = 3.813 Å, c = 12.915 Å, α = 90.00°, β = 90.00° and γ = 90.00°. The inequivalent atoms are Ac at (0.000, 0.000, 0.000), Sm at (0.500, 0.500, 0.205), Sm at (0.500, 0.500, 0.500) and Cd at (0.000, 0.000, 0.352).


4.
A plane-wave DFT calculation with PBE-GGA was carried out for a relaxed structure of Ca2Pm2Sn3.

As for the volume: 31.4 Å³/atom. The calculated formation energy comes out at -0.57 eV/atom. Its crystal system is orthorhombic.

It has space group Immm (No. 71), with a = 5.113 Å, b = 5.355 Å, c = 16.081 Å, α = 90.00°, β = 90.00° and γ = 90.00°. The inequivalent atoms are Ca at (0.000, 0.000, 0.119), Pm at (0.000, 0.000, 0.374), Sn at (0.000, 0.500, 0.000) and Sn at (0.000, 0.500, 0.255).


5.
A plane-wave DFT calculation with PBE-GGA was carried out for a relaxed structure of NpTlB2O8.

Its uncorrected formation energy is -1.919 eV/atom. As for the volume: 12.9 Å³/atom. Its crystal system is monoclinic.

It has space group C2/m (No. 12), with a = 8.072 Å, b = 5.278 Å, c = 7.330 Å, α = 90.00°, β = 97.40° and γ = 90.00°. The inequivalent atoms are Np at (0.000, 0.000, 0.000), Tl at (0.000, 0.000, 0.500), B at (0.169, 0.500, 0.232), O at (0.060, 0.268, 0.204), O at (0.224, 0.000, 0.920) and O at (0.248, 0.000, 0.584).


6.
A plane-wave DFT calculation with PBE-GGA was carried out for a relaxed structure of Nd5Pa3As8.

As for the volume: 26.1 Å³/atom. The calculated formation energy comes out at -1.34 eV/atom. Its crystal system is trigonal.

It has space group R-3m (No. 166, hexagonal axes), with a = 8.3908 Å, b = 8.3908 Å, c = 20.5761 Å, α = 90.00°, β = 90.00° and γ = 120.00°. The inequivalent atoms are Nd at (0.0000, 0.0000, 0.0000), Nd at (0.0000, 0.0000, 0.5000), Nd at (0.0000, 0.5000, 0.0000), Pa at (0.0000, 0.5000, 0.5000), As at (0.0000, 0.0000, 0.2454) and As at (0.0078, 0.5039, 0.7539).


7.
A plane-wave DFT calculation with PBE-GGA was carried out for a relaxed structure of BaB2Mo.

As for the volume: 22.0 Å³/atom. The energy relative to the lowest polymorph listed for this composition comes out at 0.0 kJ per mole of atoms. The calculated formation energy comes out at 0.55 eV/atom. Its crystal system is tetragonal.

It has space group I-42d (No. 122), with a = 6.537 Å, b = 6.537 Å, c = 8.239 Å, α = 90.00°, β = 90.00° and γ = 90.00°. The inequivalent atoms are Ba at (0.000, 0.000, 0.000), B at (0.105, 0.250, 0.625) and Mo at (0.000, 0.000, 0.500).


8.
A plane-wave DFT calculation with PBE-GGA was carried out for a relaxed structure of La3MnSn.

As for the volume: 28.6 Å³/atom. The calculated formation energy comes out at -0.28 eV/atom. Its crystal system is cubic.

It has space group Pm-3m (No. 221), with a = 5.231 Å, b = 5.231 Å, c = 5.231 Å, α = 90.00°, β = 90.00° and γ = 90.00°. The inequivalent atoms are La at (0.000, 0.000, 0.500), Mn at (0.000, 0.000, 0.000) and Sn at (0.500, 0.500, 0.500).


9.
A plane-wave DFT calculation with PBE-GGA was carried out for a relaxed structure of Sr2CeThAs4.

As for the volume: 29.4 Å³/atom. The calculated formation energy comes out at -1.33 eV/atom. Its crystal system is monoclinic.

It has space group P2/m (No. 10), with a = 7.540 Å, b = 4.353 Å, c = 7.592 Å, α = 90.00°, β = 109.34° and γ = 90.00°. The inequivalent atoms are Sr at (0.000, 0.000, 0.000), Sr at (0.500, 0.500, 0.000), Ce at (0.000, 0.500, 0.500), Th at (0.500, 0.000, 0.500), As at (0.238, 0.000, 0.721) and As at (0.256, 0.500, 0.275).


10.
A plane-wave DFT calculation with PBE-GGA was carried out for a relaxed structure of LaTbIn2.

As for the volume: 31.0 Å³/atom. The calculated formation energy comes out at -0.31 eV/atom. Its crystal system is trigonal.

It has space group R-3m (No. 166, hexagonal axes), with a = 3.7939 Å, b = 3.7939 Å, c = 29.8502 Å, α = 90.00°, β = 90.00° and γ = 120.00°. The inequivalent atoms are La at (0.0000, 0.0000, 0.0000), Tb at (0.0000, 0.0000, 0.5000) and In at (0.0000, 0.0000, 0.2466).


11.
A plane-wave DFT calculation with PBE-GGA was carried out for a relaxed structure of Ac2VFeS6.

Its uncorrected formation energy is -1.272 eV/atom. As for the volume: 21.0 Å³/atom. Its crystal system is orthorhombic.

It has space group Pmmn (No. 59, origin choice 2), with a = 6.627 Å, b = 9.268 Å, c = 6.853 Å, α = 90.00°, β = 90.00° and γ = 90.00°. The inequivalent atoms are Ac at (0.250, 0.001, 0.210), V at (0.250, 0.750, 0.708), Fe at (0.250, 0.250, 0.733), S at (0.003, 0.750, 0.999), S at (0.005, 0.250, 0.502) and S at (0.250, 0.504, 0.772).


12.
A plane-wave DFT calculation with PBE-GGA was carried out for a relaxed structure of RbTcF3.

Its uncorrected formation energy is -0.538 eV/atom. As for the volume: 23.5 Å³/atom. The energy relative to the lowest polymorph listed for this composition comes out at 116.7 kJ per mole of atoms. Its crystal system is cubic.

It has space group Pm-3m (No. 221), with a = 4.897 Å, b = 4.897 Å, c = 4.897 Å, α = 90.00°, β = 90.00° and γ = 90.00°. The inequivalent atoms are Rb at (0.000, 0.000, 0.000), Tc at (0.500, 0.500, 0.500) and F at (0.000, 0.000, 0.500).


Q: Which of these has the highest volume?
A: Ca2Pm2Sn3